ScNb3W: relaxed, PBE-GGA.

Unit cell a=4.8997 b=4.8997 c=4.8997 alpha=90.00 beta=90.00 gamma=90.00
With the nearest neighbours (Å) after each atom.
Element x y z (fractional)
Sc 0.5000 0.5000 0.5000  12 Nb 3.46
W 0.0000 0.0000 0.0000  6 Nb 2.45
Nb 0.0000 0.5000 0.0000  2 W 2.45
Nb 0.0000 0.0000 0.5000  2 W 2.45
Nb 0.5000 0.0000 0.0000  2 W 2.45

## Properties
space group: Pm-3m (221)
raw total energy: -44.3 eV/cell
energy relative to the lowest polymorph listed for this composition: 0 meV per atom
formation energy: 1.041 eV/atom